No. 1
The following is a DFT calculation (GGA-PBE) of CsGdHg2 after structural relaxation.

The structure belongs to space group P4/mmm (No. 123); the cell edges are 3.871, 3.871 and 9.055 Å and the angles 90.00°, 90.00° and 90.00°. Symmetry generates all atoms from Cs at (0.000, 0.000, 0.000), Gd at (0.000, 0.000, 0.500) and Hg at (0.500, 0.500, 0.312).

As for the spin magnetization: 7.6 μB per formula unit. As for the formation energy: -0.259 eV/atom.

---

No. 2
The following is a DFT calculation (GGA-PBE) of NaTm2NpO8 after structural relaxation.

The structure belongs to space group P2/m (No. 10); the cell edges are 3.871, 7.809 and 5.212 Å and the angles 90.00°, 93.03° and 90.00°. Symmetry generates all atoms from Na at (0.000, 0.000, 0.000), Tm at (0.500, 0.274, 0.500), Np at (0.000, 0.500, 0.000), O at (0.018, 0.293, 0.757), O at (0.479, 0.500, 0.235) and O at (0.497, 0.000, 0.647).

As for the spin magnetization: 0.0 μB per formula unit. Its total energy is -0.5787 Ry per atom.

---

No. 3
The following is a DFT calculation (GGA-PBE) of Ge2PbAu2 after structural relaxation.

The structure belongs to space group P4/nmm (No. 129, origin choice 2); the cell edges are 4.471, 4.471 and 11.120 Å and the angles 90.00°, 90.00° and 90.00°. Symmetry generates all atoms from Ge at (0.250, 0.250, 0.135), Ge at (0.250, 0.750, 0.500), Pb at (0.250, 0.250, 0.774), Au at (0.250, 0.250, 0.366) and Au at (0.250, 0.750, 0.000).

As for the spin magnetization: 0.0 μB per formula unit. As for the formation energy: 0.000 eV/atom. The excess energy over the best structure of this formula in the dataset comes out at 0 meV/atom.